{
  "formula": "Tb3Zn2Hg3",
  "functional": "PBE",
  "state": "relaxed",
  "lattice": [[7.596, 0.000, 0.000], [-3.798, 6.579, 0.000], [0.000, 0.000, 3.801]],
  "species": ["Tb", "Tb", "Tb", "Zn", "Zn", "Hg", "Hg", "Hg"],
  "frac_coords": [[0.000, 0.607, 0.000], [0.393, 0.393, 0.000], [0.607, 0.000, 0.000], [0.333, 0.667, 0.500], [0.667, 0.333, 0.500], [0.000, 0.248, 0.500], [0.248, 0.000, 0.500], [0.752, 0.752, 0.500]],
  "formation_energy_ev_per_atom": -0.38,
  "sg": "No. 189",
  "polymorph_energy_mev_per_atom": 0
}



{
  "formula": "YBSb2Te",
  "functional": "PBE",
  "state": "relaxed",
  "lattice": [[4.936, 0.000, 0.000], [0.000, 4.936, 0.000], [0.000, 0.000, 4.939]],
  "species": ["Y", "B", "Sb", "Sb", "Te"],
  "frac_coords": [[0.000, 0.000, 0.000], [0.500, 0.500, 0.500], [0.000, 0.500, 0.500], [0.500, 0.000, 0.500], [0.500, 0.500, 0.000]],
  "formation_energy_uncorrected_ev_per_atom": 0.23,
  "sg": "No. 123",
  "polymorph_energy_mev_per_atom": 0
}



For reference, DFT total energy by record: -2.5449; -4.6780 eV/atom.